No. 1
# PmMgH6Ir2 | the Alexandria database | GGA-PBE | optimized geometry
data_PmMgH6Ir2
_chemical_formula_sum 'Pm1 Mg1 H6 Ir2'
_cell_length_a 5.898
_cell_length_b 5.898
_cell_length_c 5.898
_cell_angle_alpha 46.01
_cell_angle_beta 46.01
_cell_angle_gamma 46.01
_space_group_name_H-M_alt 'P 1'
_space_group_IT_number 1
_space_group_name_Hall 'P 1'
loop_
_atom_site_label
_atom_site_type_symbol
_atom_site_fract_x
_atom_site_fract_y
_atom_site_fract_z
Pm1 Pm 0.000 0.000 0.000
Mg1 Mg 0.500 0.500 0.500
H1 H 0.056 0.564 0.564
H2 H 0.436 0.436 0.944
H3 H 0.436 0.944 0.436
H4 H 0.564 0.056 0.564
H5 H 0.564 0.564 0.056
H6 H 0.944 0.436 0.436
Ir1 Ir 0.208 0.208 0.208
Ir2 Ir 0.792 0.792 0.792
# Total energy, eV/atom: -4.83

=====

No. 2
# TlBiRu3 | the Alexandria database | GGA-PBE | optimized geometry
data_TlBiRu3
_chemical_formula_sum 'Tl1 Bi1 Ru3'
_cell_length_a 4.982
_cell_length_b 4.982
_cell_length_c 4.982
_cell_angle_alpha 90.00
_cell_angle_beta 90.00
_cell_angle_gamma 90.00
_space_group_name_H-M_alt 'P 1'
_space_group_IT_number 1
_space_group_name_Hall 'P 1'
loop_
_atom_site_label
_atom_site_type_symbol
_atom_site_fract_x
_atom_site_fract_y
_atom_site_fract_z
Tl1 Tl 0.000 0.000 0.000
Bi1 Bi 0.500 0.500 0.500
Ru1 Ru 0.000 0.500 0.500
Ru2 Ru 0.500 0.000 0.500
Ru3 Ru 0.500 0.500 0.000
# DFT formation energy, eV per atom: 1.80
# Relative energy among the computed polymorphs, meV/atom: 0

=====

No. 3
# TbNdDyHo | the Alexandria database | GGA-PBE | optimized geometry
data_TbNdDyHo
_chemical_formula_sum 'Tb1 Nd1 Dy1 Ho1'
_cell_length_a 3.445
_cell_length_b 5.636
_cell_length_c 6.751
_cell_angle_alpha 90.00
_cell_angle_beta 90.00
_cell_angle_gamma 90.00
_space_group_name_H-M_alt 'P 1'
_space_group_IT_number 1
_space_group_name_Hall 'P 1'
loop_
_atom_site_label
_atom_site_type_symbol
_atom_site_fract_x
_atom_site_fract_y
_atom_site_fract_z
Tb1 Tb 0.000 0.000 0.000
Nd1 Nd 0.500 0.500 0.749
Dy1 Dy 0.500 0.000 0.493
Ho1 Ho 0.500 0.500 0.234
# DFT formation energy, eV per atom: 0.19
# Relative energy among the computed polymorphs, meV/atom: 60

=====

No. 4
# TiHSeBr | the Alexandria database | GGA-PBE | optimized geometry
data_TiHSeBr
_chemical_formula_sum 'Ti1 H1 Se1 Br1'
_cell_length_a 7.417
_cell_length_b 7.417
_cell_length_c 7.417
_cell_angle_alpha 26.55
_cell_angle_beta 26.55
_cell_angle_gamma 26.55
_space_group_name_H-M_alt 'P 1'
_space_group_IT_number 1
_space_group_name_Hall 'P 1'
loop_
_atom_site_label
_atom_site_type_symbol
_atom_site_fract_x
_atom_site_fract_y
_atom_site_fract_z
Ti1 Ti 0.000 0.000 0.000
H1 H 0.667 0.667 0.667
Se1 Se 0.412 0.412 0.412
Br1 Br 0.248 0.248 0.248
# Total energy, eV/atom: -4.99